(1)
# Li2YErTl4 (PBE, relaxed)
# Formation enthalpy at 0 K: -0.31 eV per atom
# Density of states at the Fermi level: 0.221 states/eV/atom
# Space group: R-3m
# Spin magnetization: 0.0 μB/f.u.
# Calculated volume: 24.514 Å³/atom
# Total energy: -26.8 eV/cell
data_Li2YErTl4
_chemical_formula_sum 'Li2 Y1 Er1 Tl4'
_cell_length_a 8.943
_cell_length_b 8.943
_cell_length_c 8.943
_cell_angle_alpha 33.69
_cell_angle_beta 33.69
_cell_angle_gamma 33.69
_space_group_name_H-M_alt 'P 1'
_space_group_IT_number 1
_space_group_name_Hall 'P 1'
loop_
_atom_site_label
_atom_site_fract_x
_atom_site_fract_y
_atom_site_fract_z
Li1 0.250 0.250 0.250
Li2 0.750 0.750 0.750
Y1 0.000 0.000 0.000
Er1 0.500 0.500 0.500
Tl1 0.126 0.126 0.126
Tl2 0.376 0.376 0.376
Tl3 0.624 0.624 0.624
Tl4 0.874 0.874 0.874

(2)
# LiErTlZn (PBE, relaxed)
# Formation enthalpy at 0 K: -0.27 eV per atom
# Density of states at the Fermi level: 0.478 states/eV/atom
# Space group: F-43m
# Spin magnetization: 0.0 μB/f.u.
# Calculated volume: 21.478 Å³/atom
# Total energy: -11.2 eV/cell
data_LiErTlZn
_chemical_formula_sum 'Li1 Er1 Tl1 Zn1'
_cell_length_a 4.953
_cell_length_b 4.953
_cell_length_c 4.953
_cell_angle_alpha 60.00
_cell_angle_beta 60.00
_cell_angle_gamma 60.00
_space_group_name_H-M_alt 'P 1'
_space_group_IT_number 1
_space_group_name_Hall 'P 1'
loop_
_atom_site_label
_atom_site_fract_x
_atom_site_fract_y
_atom_site_fract_z
Li1 0.000 0.000 0.000
Er1 0.500 0.500 0.500
Tl1 0.750 0.750 0.750
Zn1 0.250 0.250 0.250

(3)
# LiErZrTl (PBE, relaxed)
# Formation enthalpy at 0 K: -0.02 eV per atom
# Density of states at the Fermi level: 0.885 states/eV/atom
# Space group: F-43m
# Spin magnetization: 0.0 μB/f.u.
# Calculated volume: 23.134 Å³/atom
# Total energy: -17.5 eV/cell
data_LiErZrTl
_chemical_formula_sum 'Li1 Er1 Zr1 Tl1'
_cell_length_a 5.077
_cell_length_b 5.077
_cell_length_c 5.077
_cell_angle_alpha 60.00
_cell_angle_beta 60.00
_cell_angle_gamma 60.00
_space_group_name_H-M_alt 'P 1'
_space_group_IT_number 1
_space_group_name_Hall 'P 1'
loop_
_atom_site_label
_atom_site_fract_x
_atom_site_fract_y
_atom_site_fract_z
Li1 0.000 0.000 0.000
Er1 0.250 0.250 0.250
Zr1 0.750 0.750 0.750
Tl1 0.500 0.500 0.500

(4)
# Li4ErTm (PBE, relaxed)
# Formation enthalpy at 0 K: 0.12 eV per atom
# Density of states at the Fermi level: 0.841 states/eV/atom
# Space group: F-43m
# Spin magnetization: 0.0 μB/f.u.
# Calculated volume: 22.933 Å³/atom
# Total energy: -16.0 eV/cell
data_Li4ErTm
_chemical_formula_sum 'Li4 Er1 Tm1'
_cell_length_a 5.795
_cell_length_b 5.795
_cell_length_c 5.795
_cell_angle_alpha 60.00
_cell_angle_beta 60.00
_cell_angle_gamma 60.00
_space_group_name_H-M_alt 'P 1'
_space_group_IT_number 1
_space_group_name_Hall 'P 1'
loop_
_atom_site_label
_atom_site_fract_x
_atom_site_fract_y
_atom_site_fract_z
Li1 0.125 0.125 0.125
Li2 0.125 0.125 0.625
Li3 0.125 0.625 0.125
Li4 0.625 0.125 0.125
Er1 0.750 0.750 0.750
Tm1 0.500 0.500 0.500

(5)
# LiErTm (PBE, relaxed)
# ΔE to the lowest computed polymorph: 1.309 kcal/mol of atoms
# Formation enthalpy at 0 K: 0.12 eV per atom
# Density of states at the Fermi level: 1.074 states/eV/atom
# Space group: P3m1
# Spin magnetization: 0.0 μB/f.u.
# Calculated volume: 27.826 Å³/atom
# Total energy: -10.6 eV/cell
data_LiErTm
_chemical_formula_sum 'Li1 Er1 Tm1'
_cell_length_a 3.420
_cell_length_b 3.420
_cell_length_c 8.241
_cell_angle_alpha 90.00
_cell_angle_beta 90.00
_cell_angle_gamma 120.00
_space_group_name_H-M_alt 'P 1'
_space_group_IT_number 1
_space_group_name_Hall 'P 1'
loop_
_atom_site_label
_atom_site_fract_x
_atom_site_fract_y
_atom_site_fract_z
Li1 0.000 0.000 0.000
Er1 0.667 0.333 0.333
Tm1 0.333 0.667 0.669

(6)
# Li2ErTm (PBE, relaxed)
# Formation enthalpy at 0 K: 0.16 eV per atom
# Density of states at the Fermi level: 0.771 states/eV/atom
# Space group: Fm-3m
# Spin magnetization: 0.0 μB/f.u.
# Calculated volume: 24.625 Å³/atom
# Total energy: -12.2 eV/cell
data_Li2ErTm
_chemical_formula_sum 'Li2 Er1 Tm1'
_cell_length_a 5.184
_cell_length_b 5.184
_cell_length_c 5.184
_cell_angle_alpha 60.00
_cell_angle_beta 60.00
_cell_angle_gamma 60.00
_space_group_name_H-M_alt 'P 1'
_space_group_IT_number 1
_space_group_name_Hall 'P 1'
loop_
_atom_site_label
_atom_site_fract_x
_atom_site_fract_y
_atom_site_fract_z
Li1 0.250 0.250 0.250
Li2 0.750 0.750 0.750
Er1 0.000 0.000 0.000
Tm1 0.500 0.500 0.500

(7)
# LiErTm (PBE, relaxed)
# ΔE to the lowest computed polymorph: 0.000 kcal/mol of atoms
# Formation enthalpy at 0 K: 0.06 eV per atom
# Density of states at the Fermi level: 1.063 states/eV/atom
# Space group: P4/nmm
# Spin magnetization: 0.0 μB/f.u.
# Calculated volume: 26.599 Å³/atom
# Total energy: -21.5 eV/cell
data_LiErTm
_chemical_formula_sum 'Li2 Er2 Tm2'
_cell_length_a 3.557
_cell_length_b 3.557
_cell_length_c 12.616
_cell_angle_alpha 90.00
_cell_angle_beta 90.00
_cell_angle_gamma 90.00
_space_group_name_H-M_alt 'P 1'
_space_group_IT_number 1
_space_group_name_Hall 'P 1'
loop_
_atom_site_label
_atom_site_fract_x
_atom_site_fract_y
_atom_site_fract_z
Li1 0.250 0.250 0.052
Li2 0.750 0.750 0.948
Er1 0.250 0.250 0.402
Er2 0.750 0.750 0.598
Tm1 0.250 0.250 0.783
Tm2 0.750 0.750 0.217

(8)
# Li2ErTm (PBE, relaxed)
# Formation enthalpy at 0 K: 0.16 eV per atom
# Density of states at the Fermi level: 0.860 states/eV/atom
# Space group: P4/mmm
# Spin magnetization: 0.0 μB/f.u.
# Calculated volume: 24.612 Å³/atom
# Total energy: -12.2 eV/cell
data_Li2ErTm
_chemical_formula_sum 'Li2 Er1 Tm1'
_cell_length_a 3.665
_cell_length_b 3.665
_cell_length_c 7.329
_cell_angle_alpha 90.00
_cell_angle_beta 90.00
_cell_angle_gamma 90.00
_space_group_name_H-M_alt 'P 1'
_space_group_IT_number 1
_space_group_name_Hall 'P 1'
loop_
_atom_site_label
_atom_site_fract_x
_atom_site_fract_y
_atom_site_fract_z
Li1 0.000 0.000 0.249
Li2 0.000 0.000 0.751
Er1 0.500 0.500 0.500
Tm1 0.500 0.500 0.000

(9)
# LiErTm (PBE, relaxed)
# ΔE to the lowest computed polymorph: 0.852 kcal/mol of atoms
# Formation enthalpy at 0 K: 0.10 eV per atom
# Density of states at the Fermi level: 1.507 states/eV/atom
# Space group: I4mm
# Spin magnetization: 0.0 μB/f.u.
# Calculated volume: 26.659 Å³/atom
# Total energy: -10.6 eV/cell
data_LiErTm
_chemical_formula_sum 'Li1 Er1 Tm1'
_cell_length_a 6.710
_cell_length_b 6.710
_cell_length_c 6.710
_cell_angle_alpha 148.98
_cell_angle_beta 148.98
_cell_angle_gamma 44.44
_space_group_name_H-M_alt 'P 1'
_space_group_IT_number 1
_space_group_name_Hall 'P 1'
loop_
_atom_site_label
_atom_site_fract_x
_atom_site_fract_y
_atom_site_fract_z
Li1 0.000 0.000 0.000
Er1 0.656 0.656 0.000
Tm1 0.346 0.346 0.000

(10)
# LiYErTm (PBE, relaxed)
# Formation enthalpy at 0 K: 0.17 eV per atom
# Density of states at the Fermi level: 0.704 states/eV/atom
# Space group: F-43m
# Spin magnetization: 0.0 μB/f.u.
# Calculated volume: 28.348 Å³/atom
# Total energy: -16.7 eV/cell
data_LiYErTm
_chemical_formula_sum 'Li1 Y1 Er1 Tm1'
_cell_length_a 5.433
_cell_length_b 5.433
_cell_length_c 5.433
_cell_angle_alpha 60.00
_cell_angle_beta 60.00
_cell_angle_gamma 60.00
_space_group_name_H-M_alt 'P 1'
_space_group_IT_number 1
_space_group_name_Hall 'P 1'
loop_
_atom_site_label
_atom_site_fract_x
_atom_site_fract_y
_atom_site_fract_z
Li1 0.000 0.000 0.000
Y1 0.250 0.250 0.250
Er1 0.750 0.750 0.750
Tm1 0.500 0.500 0.500

(11)
# LiErV (PBE, relaxed)
# Formation enthalpy at 0 K: 0.31 eV per atom
# Density of states at the Fermi level: 1.025 states/eV/atom
# Space group: R-3m
# Spin magnetization: 0.0 μB/f.u.
# Calculated volume: 21.414 Å³/atom
# Total energy: -29.3 eV/cell
data_LiErV
_chemical_formula_sum 'Li2 Er2 V2'
_cell_length_a 14.342
_cell_length_b 14.342
_cell_length_c 14.342
_cell_angle_alpha 12.93
_cell_angle_beta 12.93
_cell_angle_gamma 12.93
_space_group_name_H-M_alt 'P 1'
_space_group_IT_number 1
_space_group_name_Hall 'P 1'
loop_
_atom_site_label
_atom_site_fract_x
_atom_site_fract_y
_atom_site_fract_z
Li1 0.195 0.195 0.195
Li2 0.805 0.805 0.805
Er1 0.407 0.407 0.407
Er2 0.593 0.593 0.593
V1 0.315 0.315 0.315
V2 0.685 0.685 0.685

(12)
# LiYEr (PBE, relaxed)
# ΔE to the lowest computed polymorph: 0.648 kcal/mol of atoms
# Formation enthalpy at 0 K: 0.08 eV per atom
# Density of states at the Fermi level: 1.113 states/eV/atom
# Space group: C2/m
# Spin magnetization: 0.2 μB/f.u.
# Calculated volume: 28.970 Å³/atom
# Total energy: -25.4 eV/cell
data_LiYEr
_chemical_formula_sum 'Li2 Y2 Er2'
_cell_length_a 3.508
_cell_length_b 3.508
_cell_length_c 16.422
_cell_angle_alpha 96.09
_cell_angle_beta 96.09
_cell_angle_gamma 60.05
_space_group_name_H-M_alt 'P 1'
_space_group_IT_number 1
_space_group_name_Hall 'P 1'
loop_
_atom_site_label
_atom_site_fract_x
_atom_site_fract_y
_atom_site_fract_z
Li1 0.144 0.144 0.429
Li2 0.856 0.856 0.571
Y1 0.363 0.363 0.091
Y2 0.637 0.637 0.909
Er1 0.246 0.246 0.736
Er2 0.754 0.754 0.264